This record from the Alexandria database describes a relaxed Ba3Nb2CrO9 crystal. The functional is GGA+U.

- Fermi-level density of states (states/eV/atom) = 0.178
- theoretical density (g/cm3) = 6.3
- DFT total energy (Ry per atom) = -0.5795

a b c (Å): 5.8140 5.8140 7.1260
angles (deg): 90.00 90.00 120.00
Space group P-3m1 (No. 164)
Unique sites:
Ba  0.0000  0.0000  0.0000 [1 per cell]
Ba  0.3333  0.6667  0.6632 [2 per cell]
Nb  0.3333  0.6667  0.1743 [2 per cell]
Cr  0.0000  0.0000  0.5000 [1 per cell]
O  0.0000  0.5000  0.0000 [3 per cell]
O  0.1666  0.3333  0.3330 [6 per cell]